1.
DFT (PBE-GGA) results for crystalline Ba2Sr8Ca3 at its relaxed geometry.

Calculated values
* total energy: -21.40 eV per formula unit
* density: 2448 kg/m3

a = 17.570 Å, b = 10.718 Å, c = 7.977 Å
α = 90.00°, β = 98.23°, γ = 90.00°
Space group C2/m (No. 12)
Symmetry-distinct sites (fractional):
Ba (0.199, 0.000, 0.278) x4
Sr (0.093, 0.500, 0.392) x4
Sr (0.113, 0.317, 0.935) x8
Sr (0.195, 0.000, 0.767) x4
Ca (0.000, 0.000, 0.000) x2
Ca (0.000, 0.168, 0.500) x4

2.
DFT (PBE-GGA) results for crystalline BaSrCa2 at its relaxed geometry.

Calculated values
* total energy: -7.46 eV per formula unit
* density: 2552 kg/m3

a = 4.882 Å, b = 6.414 Å, c = 12.680 Å
α = 90.00°, β = 90.00°, γ = 90.00°
Space group Immm (No. 71)
Symmetry-distinct sites (fractional):
Ba (0.000, 0.000, 0.000) x2
Sr (0.000, 0.000, 0.500) x2
Ca (0.000, 0.500, 0.246) x4

3.
DFT (PBE-GGA) results for crystalline Ba2Sr6Ca at its relaxed geometry.

Calculated values
* total energy: -15.60 eV per formula unit
* density: 2808 kg/m3

a = 10.843 Å, b = 21.150 Å, c = 4.402 Å
α = 90.00°, β = 99.97°, γ = 90.00°
Space group C2/m (No. 12)
Symmetry-distinct sites (fractional):
Ba (0.000, 0.161, 0.000) x4
Sr (0.164, 0.334, 0.330) x8
Sr (0.174, 0.500, 0.836) x4
Ca (0.000, 0.000, 0.500) x2

4.
DFT (PBE-GGA) results for crystalline Ba5SrCa at its relaxed geometry.

Calculated values
* total energy: -12.35 eV per formula unit
* density: 3113 kg/m3

a = 7.479 Å, b = 27.561 Å, c = 8.475 Å
α = 90.00°, β = 95.94°, γ = 90.00°
Space group C2/c (No. 15)
Symmetry-distinct sites (fractional):
Ba (0.000, 0.142, 0.250) x4
Ba (0.005, 0.295, 0.493) x8
Ba (0.241, 0.036, 0.616) x8
Sr (0.000, 0.163, 0.750) x4
Ca (0.000, 0.417, 0.750) x4

| no. | V (Å³/f.u.) |
| --- | --- |
| 1 | 743 |
| 2 | 199 |
| 3 | 497 |
| 4 | 434 |